VASP calculation (PBE with a Hubbard U) on an optimized crystal structure of HfHgMoO6.

For the calculated total energy, the calculation gives -63.85 eV for the cell shown. As for the theoretical density: 7.68 g cm⁻³.

The structure belongs to space group P312 (No. 149); the cell edges are 5.3823, 5.3823 and 4.9208 Å and the angles 90.00°, 90.00° and 120.00°. The asymmetric unit holds Hf at (0.0000, 0.0000, 0.0000), Hg at (0.3333, 0.6667, 0.5000), Mo at (0.6667, 0.3333, 0.0000) and O at (0.3512, 0.0455, 0.7811).